8
Lattice="6.7164 0.0000 0.0000 0.0000 2.1677 5.0607 0.0000 -2.1677 5.0607" Properties=species:S:1:pos:R:3 comment="TbDyGa4Ir2 | OQMD | PBE-GGA | optimized geometry" density_g_cm3=11.097 vol_a3_per_cell=147.4 final_energy_ev_per_atom=-5.6316 total_magnetization_mub_per_atom=0.002 space_group=Amm2 pbc="T T T"
Ga 2.0403 0.0000 6.4137
Ga 4.6761 0.0000 6.4137
Ga 1.3139 0.0000 3.7063
Ir 3.3582 0.0000 2.0612
Tb 3.3582 0.0000 9.2761
Ir 0.0000 0.0000 8.0598
Ga 5.4025 0.0000 3.7063
Dy 0.0000 0.0000 0.8485